[1]
Entry from the Alexandria database: AcSb3S6 after structural relaxation (PBE-GGA).

## Properties
Total magnetization: 0.00 μB/f.u.
Crystal system: monoclinic
Volume: 26.813 Å³ per atom
Distance to the lowest polymorph of the same formula: 0.026 eV per atom

The structure in POSCAR format:
```
AcSb3S6
1.0
12.074 0.000 0.000
0.000 4.053 0.000
-5.589 0.000 10.958
Ac Sb S
2 6 12
Cartesian
-0.984 1.013 3.811
7.469 3.040 7.147
1.753 1.013 0.060
-0.608 3.040 7.740
3.783 3.040 4.074
2.702 1.013 6.884
7.092 1.013 3.218
4.732 3.040 10.898
0.088 3.040 1.665
-2.281 1.013 6.745
-2.725 3.040 9.800
0.565 3.040 5.491
2.473 1.013 3.117
1.051 1.013 8.696
5.434 3.040 2.262
4.012 3.040 7.841
5.919 1.013 5.467
9.210 1.013 1.158
8.766 3.040 4.213
6.397 1.013 9.293
```

***

[2]
Entry from the Alexandria database: LiMn2Pt9 after structural relaxation (PBE-GGA).

## Properties
Total magnetization: 7.84 μB/f.u.
Crystal system: tetragonal
Energy relative to the elements: -0.373 eV per atom
Volume: 14.960 Å³ per atom
D(E_F): 11.4 states/eV/f.u.

The structure in POSCAR format:
```
LiMn2Pt9
1.0
3.913 0.000 0.000
0.000 3.913 0.000
0.000 0.000 11.723
Li Mn Pt
1 2 9
Cartesian
0.000 0.000 0.000
0.000 0.000 3.880
0.000 0.000 7.843
0.000 1.957 1.931
0.000 1.957 5.861
0.000 1.957 9.792
1.957 0.000 1.931
1.957 0.000 5.861
1.957 0.000 9.792
1.957 1.957 0.000
1.957 1.957 3.891
1.957 1.957 7.831
```

***

[3]
Entry from the Alexandria database: SbAs2Pt after structural relaxation (PBE-GGA).

## Properties
Total magnetization: 0.00 μB/f.u.
Total energy: -5.04 eV per atom
Crystal system: monoclinic
Volume: 21.041 Å³ per atom
D(E_F): 2.1 states/eV/f.u.

The structure in POSCAR format:
```
SbAs2Pt
1.0
4.725 0.000 0.000
0.000 3.859 0.000
-1.615 0.000 4.617
Sb As Pt
1 2 1
Cartesian
0.000 0.000 0.000
0.093 1.929 3.173
3.017 1.929 1.443
1.555 0.000 2.308
```

***

[4]
Entry from the Alexandria database: La4Pb2SeN2 after structural relaxation (PBE-GGA).

## Properties
Total magnetization: 0.00 μB/f.u.
Total energy: -6.46 eV per atom
Crystal system: monoclinic
Volume: 30.891 Å³ per atom
D(E_F): 6.3 states/eV/f.u.

The structure in POSCAR format:
```
La4Pb2SeN2
1.0
8.270 -2.075 0.000
8.270 2.075 0.000
-4.346 0.000 8.100
La Pb Se N
4 2 1 2
Cartesian
-0.799 0.000 2.303
3.000 0.000 2.970
9.195 0.000 5.130
12.993 0.000 5.797
2.404 0.000 7.698
9.791 0.000 0.402
6.097 0.000 4.050
0.818 0.000 3.862
11.377 0.000 4.237
```

***

[5]
Entry from the Alexandria database: LaErTlRu after structural relaxation (PBE-GGA).

## Properties
Total magnetization: 0.00 μB/f.u.
Crystal system: cubic
Energy relative to the elements: -0.189 eV per atom
Volume: 24.817 Å³ per atom
D(E_F): 2.4 states/eV/f.u.

The structure in POSCAR format:
```
LaErTlRu
1.0
7.350 0.000 0.000
0.000 7.350 0.000
0.000 0.000 7.350
La Er Tl Ru
4 4 4 4
Cartesian
0.000 0.000 0.000
0.000 3.675 3.675
3.675 0.000 3.675
3.675 3.675 0.000
0.000 0.000 3.675
0.000 3.675 0.000
3.675 0.000 0.000
3.675 3.675 3.675
1.838 1.838 1.838
1.838 5.513 5.513
5.513 1.838 5.513
5.513 5.513 1.838
1.838 1.838 5.513
1.838 5.513 1.838
5.513 1.838 1.838
5.513 5.513 5.513
```

***

[6]
Entry from the Alexandria database: RbNaV2 after structural relaxation (PBE-GGA).

## Properties
Total magnetization: 8.65 μB/f.u.
Crystal system: cubic
Energy relative to the elements: 1.655 eV per atom
Volume: 31.578 Å³ per atom
D(E_F): 11.0 states/eV/f.u.
Distance to the lowest polymorph of the same formula: 0.163 eV per atom

The structure in POSCAR format:
```
RbNaV2
1.0
7.965 0.000 0.000
0.000 7.965 0.000
0.000 0.000 7.965
Rb Na V
4 4 8
Cartesian
0.000 0.000 0.000
0.000 3.982 3.982
3.982 0.000 3.982
3.982 3.982 0.000
0.000 0.000 3.982
0.000 3.982 0.000
3.982 0.000 0.000
3.982 3.982 3.982
1.991 1.991 1.991
1.991 1.991 5.974
1.991 5.974 1.991
1.991 5.974 5.974
5.974 1.991 1.991
5.974 1.991 5.974
5.974 5.974 1.991
5.974 5.974 5.974
```

***

[7]
Entry from the Alexandria database: La5Tm2Sn5 after structural relaxation (PBE-GGA).

## Properties
Total magnetization: 0.68 μB/f.u.
Crystal system: monoclinic
Energy relative to the elements: -0.579 eV per atom
Volume: 34.684 Å³ per atom
D(E_F): 6.9 states/eV/f.u.

The structure in POSCAR format:
```
La5Tm2Sn5
1.0
7.588 -2.276 0.000
7.588 2.276 0.000
-4.820 0.000 12.049
La Tm Sn
5 2 5
Cartesian
0.000 0.000 0.000
-0.126 0.000 6.487
-0.665 0.000 10.098
11.022 0.000 1.951
10.483 0.000 5.562
3.414 0.000 8.563
6.943 0.000 3.486
1.416 0.000 3.464
5.474 0.000 0.906
5.179 0.000 6.025
4.883 0.000 11.143
8.941 0.000 8.585
```

***

[8]
Entry from the Alexandria database: CsBa2OsAu after structural relaxation (PBE-GGA).

## Properties
Total magnetization: 0.00 μB/f.u.
Crystal system: tetragonal
Energy relative to the elements: 1.301 eV per atom
Volume: 41.720 Å³ per atom
D(E_F): 3.6 states/eV/f.u.

The structure in POSCAR format:
```
CsBa2OsAu
1.0
6.472 0.000 0.000
0.000 6.472 0.000
0.000 0.000 4.980
Cs Ba Os Au
1 2 1 1
Cartesian
0.000 0.000 0.000
0.000 3.236 0.000
3.236 0.000 0.000
0.000 0.000 2.490
3.236 3.236 2.490
```

***

[9]
Entry from the Alexandria database: Cu2OsI2 after structural relaxation (PBE-GGA).

## Properties
Total magnetization: 0.07 μB/f.u.
Crystal system: tetragonal
Volume: 18.974 Å³ per atom
D(E_F): 1.8 states/eV/f.u.
Distance to the lowest polymorph of the same formula: 0.000 eV per atom

The structure in POSCAR format:
```
Cu2OsI2
1.0
7.048 0.000 0.000
0.000 7.048 0.000
0.000 0.000 3.819
Cu Os I
4 2 4
Cartesian
0.899 2.625 0.000
2.625 6.149 0.000
4.423 0.899 0.000
6.149 4.423 0.000
0.000 0.000 0.000
3.524 3.524 0.000
1.341 4.865 1.910
2.183 1.341 1.910
4.865 5.707 1.910
5.707 2.183 1.910
```

***

[10]
Entry from the Alexandria database: TaV3Au after structural relaxation (PBE-GGA).

## Properties
Total magnetization: 2.46 μB/f.u.
Crystal system: cubic
Energy relative to the elements: 1.439 eV per atom
Volume: 19.611 Å³ per atom
D(E_F): 6.8 states/eV/f.u.

The structure in POSCAR format:
```
TaV3Au
1.0
4.611 0.000 0.000
0.000 4.611 0.000
0.000 0.000 4.611
Ta V Au
1 3 1
Cartesian
0.000 0.000 0.000
0.000 0.000 2.306
0.000 2.306 0.000
2.306 0.000 0.000
2.306 2.306 2.306
```

***

[11]
Entry from the Alexandria database: Ba2LiCd5 after structural relaxation (PBE-GGA).

## Properties
Total magnetization: 0.00 μB/f.u.
Crystal system: orthorhombic
Energy relative to the elements: -0.241 eV per atom
Volume: 30.990 Å³ per atom
D(E_F): 6.2 states/eV/f.u.

The structure in POSCAR format:
```
Ba2LiCd5
1.0
2.591 -9.202 0.000
2.591 9.202 0.000
0.000 0.000 10.400
Ba Li Cd
4 2 10
Cartesian
0.000 0.000 0.000
0.000 0.000 5.200
2.591 5.414 7.800
2.591 -5.414 2.600
2.591 1.154 2.600
2.591 -1.154 7.800
2.591 5.773 1.121
2.591 5.773 4.079
2.591 2.772 0.250
2.591 2.772 4.950
2.591 1.661 7.800
2.591 -1.661 2.600
2.591 -2.772 5.450
2.591 -2.772 10.150
2.591 -5.773 6.321
2.591 -5.773 9.279
```

***

[12]
Entry from the Alexandria database: PuAgBiPb after structural relaxation (PBE-GGA).

## Properties
Total magnetization: 5.68 μB/f.u.
Crystal system: orthorhombic
Energy relative to the elements: -0.154 eV per atom
Volume: 26.366 Å³ per atom
D(E_F): 12.1 states/eV/f.u.
Distance to the lowest polymorph of the same formula: 0.000 eV per atom

The structure in POSCAR format:
```
PuAgBiPb
1.0
4.447 0.000 0.000
0.000 4.743 0.000
0.000 0.000 5.000
Pu Ag Bi Pb
1 1 1 1
Cartesian
0.000 0.000 0.000
0.000 2.371 2.500
2.224 2.371 0.000
2.224 0.000 2.500
```